Entry 1:
Material: NdInSb2
Method: DFT, PBE-GGA
State: relaxed

Summary:
ΔE to the lowest computed polymorph = 689 meV/atom
formation energy (no corrections) = 13 kJ/mol of atoms
size of the total moment = 0.00 μB per formula unit
DFT total energy = -3.801 eV/atom

The structure in POSCAR format:
```
NdInSb2
1.0
-3.1440 -1.6380 1.3600
0.2300 -2.4219 2.9153
-2.2046 6.5376 8.0779
Sb Nd In
2 1 1
Cartesian
-1.8318 4.1525 6.0671
-3.2867 -1.6749 6.2861
0.0000 0.0000 0.0000
-2.5593 1.2388 6.1766
```

=====

Entry 2:
Material: NdIn2Sb
Method: DFT, PBE-GGA
State: relaxed

Summary:
ΔE to the lowest computed polymorph = 636 meV/atom
formation energy (no corrections) = 13 kJ/mol of atoms
size of the total moment = 0.00 μB per formula unit
DFT total energy = -3.459 eV/atom

The structure in POSCAR format:
```
NdIn2Sb
1.0
-2.6286 -0.9529 -2.2233
-1.4406 -3.2606 0.2310
-9.0076 2.4983 6.7090
Sb Nd In
1 1 2
Cartesian
-6.5384 -0.8576 2.3583
0.0000 0.0000 0.0000
-6.8331 1.3891 4.6135
-6.2437 -3.1043 0.1031
```

=====

Entry 3:
Material: NdInSb
Method: DFT, PBE-GGA
State: relaxed

Summary:
formation energy (no corrections) = -46 kJ/mol of atoms
size of the total moment = 0.25 μB per formula unit
DFT total energy = -4.349 eV/atom

The structure in POSCAR format:
```
NdInSb
1.0
3.9670 0.0000 0.0000
0.0000 3.9670 0.0000
-1.9835 -1.9835 5.3897
Sb Nd In
1 1 1
Cartesian
1.9835 1.9835 1.1103
0.0000 0.0000 3.0127
1.9835 1.9835 5.0394
```

=====

Entry 4:
Material: NdInSb2
Method: DFT, PBE-GGA
State: relaxed

Summary:
ΔE to the lowest computed polymorph = 14 meV/atom
formation energy (no corrections) = -52 kJ/mol of atoms
size of the total moment = 0.00 μB per formula unit
DFT total energy = -4.476 eV/atom

The structure in POSCAR format:
```
NdInSb2
1.0
-4.1640 1.5839 -0.1957
-1.2635 -3.6058 -2.2995
-2.5450 -5.4598 9.9599
Nd In Sb
2 2 4
Cartesian
-1.3592 -3.3634 1.6970
-3.8996 -3.1073 7.0153
-2.7138 -1.0110 -1.2476
0.0000 0.0000 0.0000
-2.6580 -0.4438 2.1564
-2.6007 -6.0270 6.5559
-1.2725 -2.7299 4.9799
-3.9863 -3.7408 3.7323
```

=====

Entry 5:
Material: NdInSb2
Method: DFT, PBE-GGA
State: relaxed

Summary:
ΔE to the lowest computed polymorph = 0 meV/atom
formation energy (no corrections) = -53 kJ/mol of atoms
size of the total moment = 0.00 μB per formula unit
DFT total energy = -4.490 eV/atom

The structure in POSCAR format:
```
NdInSb2
1.0
4.4205 -0.0194 0.0011
0.0289 4.4205 0.0011
-0.0230 -0.0227 12.1087
Nd In Sb
2 2 4
Cartesian
4.4264 4.3783 9.6263
0.0000 0.0000 2.4845
1.0738 3.3411 6.0554
3.3526 1.0372 6.0554
2.2240 2.1998 3.4875
2.2024 2.1784 8.6234
2.2103 -0.0097 0.0005
0.0145 2.2102 0.0005
```

=====

Entry 6:
Material: Nd4InSb
Method: DFT, PBE-GGA
State: relaxed

Summary:
formation energy (no corrections) = -35 kJ/mol of atoms
size of the total moment = 0.00 μB per formula unit
DFT total energy = -4.682 eV/atom

The structure in POSCAR format:
```
Nd4InSb
1.0
5.8127 0.0000 0.0000
0.0000 6.5117 0.0000
-2.9063 0.0000 10.9784
Nd In Sb
8 2 2
Cartesian
2.9063 2.0971 8.2247
0.0000 5.3529 2.7538
0.0000 5.3559 9.5271
2.9063 2.1000 1.4513
2.9063 3.7305 4.6208
0.0000 0.4747 6.3577
2.9064 0.4643 4.6206
0.0000 3.7202 6.3578
2.9063 5.3567 1.6476
0.0000 2.1008 9.3308
2.9063 5.3529 7.5929
0.0000 2.0970 3.3856
```

=====

Entry 7:
Material: Nd8InSb5
Method: DFT, PBE-GGA
State: relaxed

Summary:
formation energy (no corrections) = -92 kJ/mol of atoms
size of the total moment = 0.00 μB per formula unit
DFT total energy = -5.344 eV/atom

The structure in POSCAR format:
```
Nd8InSb5
1.0
7.8046 0.0000 -2.6997
-3.8865 6.7359 -2.7793
-0.0317 0.0000 8.2583
Nd In Sb
8 1 5
Cartesian
-1.9508 5.0874 -2.2804
7.2151 0.7201 3.1330
4.9926 1.6683 0.3186
3.3485 2.6450 4.4455
1.4028 4.0909 -1.0478
1.4108 6.0157 3.0355
1.0979 1.6485 1.6704
-1.9710 5.0676 1.8422
-0.0158 3.3679 4.1292
-1.4590 2.5422 0.0008
3.4044 5.8865 -2.7211
3.4155 4.1937 1.3984
3.8865 0.0000 2.7793
2.4120 0.8493 6.8806
```

=====

Entry 8:
Material: Nd5In2Sb
Method: DFT, PBE-GGA
State: relaxed

Summary:
formation energy (no corrections) = -52 kJ/mol of atoms
size of the total moment = 0.00 μB per formula unit
DFT total energy = -4.721 eV/atom

The structure in POSCAR format:
```
Nd5In2Sb
1.0
-5.1438 -0.0360 -6.9692
-6.0648 -4.2444 4.4982
2.9801 7.9109 3.1425
Nd In Sb
10 4 2
Cartesian
-4.7097 2.5785 1.7149
-9.2844 -1.8259 -0.2688
0.0000 0.0000 0.0000
-5.6043 -2.1402 -1.2355
1.0560 5.4564 0.9403
-2.5790 4.6944 -1.7558
-1.0747 3.3405 4.4110
-5.6494 -1.0639 2.4273
-7.1537 0.2900 -3.7395
-3.5187 1.0520 -1.0434
-2.9084 -1.5555 0.7050
-4.0812 -0.5944 -3.8173
-7.1274 -3.6860 1.3464
-8.3002 -2.7249 -3.1760
-6.9164 0.7452 -0.2820
-1.3121 2.8854 0.9535
```

=====

Entry 9:
Material: NdIn2Sb
Method: DFT, PBE-GGA
State: relaxed

Summary:
ΔE to the lowest computed polymorph = 0 meV/atom
formation energy (no corrections) = -49 kJ/mol of atoms
size of the total moment = 0.00 μB per formula unit
DFT total energy = -4.095 eV/atom

The structure in POSCAR format:
```
NdIn2Sb
1.0
4.8504 0.0000 0.0000
0.0000 4.7284 0.0000
0.0000 0.0000 4.7284
Sb Nd In
1 1 2
Cartesian
2.4252 0.0000 0.0000
2.4252 2.3642 2.3642
0.0000 0.0000 2.3642
0.0000 2.3642 0.0000
```

=====

Entry 10:
Material: NdInSb
Method: DFT, PBE-GGA
State: relaxed

Summary:
formation energy (no corrections) = -44 kJ/mol of atoms
size of the total moment = 0.00 μB per formula unit
DFT total energy = -4.332 eV/atom

The structure in POSCAR format:
```
NdInSb
1.0
-1.9219 3.2225 -1.5196
-1.8125 -2.8368 -3.7233
-2.5828 0.4768 4.2775
Sb Nd In
1 1 1
Cartesian
-2.7301 0.0498 1.2911
-3.3676 0.4447 -2.0829
-0.2195 0.3681 -0.1736
```

=====

Entry 11:
Material: Nd8InSb3Te4
Method: DFT, PBE-GGA
State: relaxed

Summary:
formation energy (no corrections) = -120 kJ/mol of atoms
size of the total moment = 0.00 μB per formula unit
DFT total energy = -5.359 eV/atom

The structure in POSCAR format:
```
Nd8InSb3Te4
1.0
-2.4095 0.0315 -8.7097
7.8092 -4.0085 -2.1748
-5.4309 -3.7440 6.1771
Nd In Sb Te
8 1 3 4
Cartesian
-0.2060 -6.6927 2.3872
2.5206 -4.8126 -0.7147
-1.3311 -2.9328 0.3577
-1.4160 -6.6769 -1.9868
1.3849 -1.0442 -2.7207
1.3000 -4.7882 -5.0651
-2.5517 -2.9084 -3.9928
0.1748 -1.0284 -7.0947
3.9046 -2.0042 -1.0874
2.6999 -1.9885 -5.4423
-0.0156 -3.8605 -2.3537
1.1892 -3.8762 2.0011
-1.2047 0.0157 -4.3549
-3.9202 -1.8563 -1.2663
0.0000 0.0000 0.0000
-2.7154 -1.8720 3.0885
```

=====

Entry 12:
Material: Nd6InSb2Te3
Method: DFT, PBE-GGA
State: relaxed

Summary:
formation energy (no corrections) = -116 kJ/mol of atoms
size of the total moment = 0.00 μB per formula unit
DFT total energy = -5.287 eV/atom

The structure in POSCAR format:
```
Nd6InSb2Te3
1.0
-1.1956 3.6690 -2.2774
-6.5375 -4.7512 -4.2222
-3.9385 1.6707 9.1672
Nd In Sb Te
6 1 2 3
Cartesian
-9.0144 -1.9853 1.5341
-5.9095 0.2764 -0.8602
-2.6572 2.5738 1.1334
-1.6279 -1.1698 -1.0299
-10.0437 1.7582 3.6974
-5.7621 0.3121 3.5277
-0.5978 1.8345 -1.1387
-7.9827 1.0046 1.4013
-3.6889 -0.4161 1.2663
-3.8666 -0.5411 -3.2498
-4.7048 3.3664 3.4853
-6.9668 -2.7779 -0.8177
```

=====

Entry 13:
Material: Nd3ScIn
Method: DFT, PBE-GGA
State: relaxed

Summary:
calculated formation energy = -0.170 eV per atom
size of the total moment = 0.00 μB per formula unit
DFT total energy = -4.845 eV/atom

The structure in POSCAR format:
```
Nd3ScIn
1.0
4.7613 0.0000 1.0881
0.0000 4.8713 0.0000
-0.4184 0.0000 12.7924
Nd Sc In
6 2 2
Cartesian
3.6109 1.2178 2.2673
1.4479 1.2178 11.7325
2.5202 1.2178 7.0400
1.2206 3.6534 1.7653
3.8189 3.6534 12.3186
0.1483 3.6534 6.4578
1.9779 3.6534 9.4132
0.6907 1.2178 4.0846
3.0637 3.6534 4.6623
4.3663 1.2178 9.9236
```

=====

Entry 14:
Material: Nd4ScIn
Method: DFT, PBE-GGA
State: relaxed

Summary:
calculated formation energy = 0.246 eV per atom
size of the total moment = 0.00 μB per formula unit
DFT total energy = -4.444 eV/atom

The structure in POSCAR format:
```
Nd4ScIn
1.0
5.4420 0.0000 0.0000
2.7210 4.7055 0.2718
2.7210 1.0669 8.4853
Nd Sc In
4 1 1
Cartesian
5.4420 3.0828 1.0980
5.4420 2.6896 7.6591
2.7210 1.2564 5.3328
8.1629 4.5160 3.4244
0.0000 0.0000 0.0000
5.4420 2.8862 4.3786
```

=====

Entry 15:
Material: Nd3ScIn2
Method: DFT, PBE-GGA
State: relaxed

Summary:
calculated formation energy = -0.320 eV per atom
ΔE to the lowest computed polymorph = 0 meV/atom
size of the total moment = 0.00 μB per formula unit
DFT total energy = -4.672 eV/atom

The structure in POSCAR format:
```
Nd3ScIn2
1.0
-2.2038 2.8704 -2.7432
-2.9581 -3.7132 -1.5089
-3.4709 3.4897 6.4400
Nd Sc In
3 1 2
Cartesian
-2.5810 -0.4214 -2.1260
-5.8289 0.6502 1.6045
-2.8039 1.9967 0.5834
0.0000 0.0000 0.0000
-3.4373 1.1340 3.9481
-5.1955 1.5129 -1.7602
```

=====

Entry 16:
Material: NdSc2In2
Method: DFT, PBE-GGA
State: relaxed

Summary:
calculated formation energy = -0.071 eV per atom
ΔE to the lowest computed polymorph = 157 meV/atom
size of the total moment = 0.01 μB per formula unit
DFT total energy = -4.652 eV/atom

The structure in POSCAR format:
```
NdSc2In2
1.0
-2.6294 1.2279 3.8068
4.2134 -1.9186 1.2162
2.7461 6.0061 -0.0410
Nd Sc In
1 2 2
Cartesian
0.0000 0.0000 0.0000
4.4131 1.6240 1.6399
-0.0830 3.6915 3.3421
2.7944 4.0340 2.4817
1.5357 1.2814 2.5003
```

=====

Entry 17:
Material: NdScIn
Method: DFT, PBE-GGA
State: relaxed

Summary:
calculated formation energy = -0.117 eV per atom
ΔE to the lowest computed polymorph = 230 meV/atom
size of the total moment = 0.01 μB per formula unit
DFT total energy = -4.730 eV/atom

The structure in POSCAR format:
```
NdScIn
1.0
4.6767 0.0000 0.0000
0.0000 4.6767 0.0000
0.0000 0.0000 7.9701
Sc In Nd
2 2 2
Cartesian
0.0000 2.3384 6.1248
2.3384 0.0000 1.8454
2.3384 2.3384 0.0000
0.0000 0.0000 0.0000
2.3384 0.0000 5.3268
0.0000 2.3384 2.6433
```

=====

Entry 18:
Material: Nd5ScIn4
Method: DFT, PBE-GGA
State: relaxed

Summary:
calculated formation energy = -0.366 eV per atom
ΔE to the lowest computed polymorph = 0 meV/atom
size of the total moment = 0.00 μB per formula unit
DFT total energy = -4.478 eV/atom

The structure in POSCAR format:
```
Nd5ScIn4
1.0
3.7530 0.0000 0.0000
0.0000 3.7530 0.0000
0.0000 0.0000 20.8927
Nd Sc In
5 1 4
Cartesian
1.8765 1.8765 2.1672
1.8765 1.8765 6.2799
1.8765 1.8765 10.4463
1.8765 1.8765 14.6127
1.8765 1.8765 18.7255
0.0000 0.0000 0.0000
0.0000 0.0000 4.1942
0.0000 0.0000 8.3596
0.0000 0.0000 12.5331
0.0000 0.0000 16.6985
```

=====

Entry 19:
Material: Nd6ScIn5
Method: DFT, PBE-GGA
State: relaxed

Summary:
calculated formation energy = -0.384 eV per atom
size of the total moment = 1.61 μB per formula unit
DFT total energy = -4.437 eV/atom

The structure in POSCAR format:
```
Nd6ScIn5
1.0
-1.9132 0.7577 5.0856
-5.1424 -5.6826 -1.0878
9.0099 -3.0505 0.8849
Sc Nd In
1 6 5
Cartesian
0.0000 0.0000 0.0000
0.5671 -3.3209 0.7082
-1.9689 -6.1233 0.1717
-2.2765 -1.0797 2.2635
-4.7791 -3.8452 1.7342
3.9232 -1.8521 4.7110
1.3873 -4.6545 4.1745
1.2012 -6.6350 1.4405
-1.7028 -4.2977 2.9589
-2.5712 -2.8413 -0.5439
3.6571 -3.6777 1.9238
0.7531 -1.3405 3.4421
```

=====

Entry 20:
Material: Nd3Sc2In7
Method: DFT, PBE-GGA
State: relaxed

Summary:
calculated formation energy = -0.235 eV per atom
size of the total moment = 1.61 μB per formula unit
DFT total energy = -4.080 eV/atom

The structure in POSCAR format:
```
Nd3Sc2In7
1.0
-3.2946 3.5510 -0.5899
-1.7916 -0.9439 4.3243
10.1635 10.0559 3.7693
Nd Sc In
3 2 7
Cartesian
-2.5431 1.3036 1.8672
0.3309 4.2756 3.7066
4.7464 8.3874 3.7971
5.4633 6.1042 6.2321
2.9086 3.0078 1.8615
7.7664 8.0314 4.9706
3.3069 3.8742 4.8520
0.0000 0.0000 0.0000
0.6055 1.0806 3.1230
-0.1356 3.3388 0.6726
5.2129 9.3242 6.8312
5.0650 5.2378 3.2417
```

=====

Entry 21:
Material: Nd4ScIn3
Method: DFT, PBE-GGA
State: relaxed

Summary:
calculated formation energy = -0.342 eV per atom
size of the total moment = 0.00 μB per formula unit
DFT total energy = -4.544 eV/atom

The structure in POSCAR format:
```
Nd4ScIn3
1.0
4.7693 0.0009 -1.2880
-0.3402 4.7628 -1.2646
0.1529 0.1156 10.0491
Sc Nd In
1 4 3
Cartesian
2.3846 0.0005 -0.6440
1.7594 1.8565 6.5200
2.8225 3.0229 0.9765
0.6070 0.6414 2.2521
3.9749 4.2380 5.2444
-0.1701 2.3814 -0.6323
3.5733 1.2548 3.7604
1.0086 3.6246 3.7361
```

=====

Entry 22:
Material: NdSc5In6
Method: DFT, PBE-GGA
State: relaxed

Summary:
calculated formation energy = -0.421 eV per atom
size of the total moment = 2.07 μB per formula unit
DFT total energy = -4.826 eV/atom

The structure in POSCAR format:
```
NdSc5In6
1.0
4.4625 0.0171 -1.3013
-1.1960 7.6819 -4.0013
0.0702 -0.5188 8.5365
Sc Nd In
5 1 6
Cartesian
2.8038 1.1279 1.3273
1.1265 2.2027 3.8921
-0.5980 3.8409 -2.0007
2.2101 4.9774 -0.6583
0.5329 6.0522 1.9066
0.0000 0.0000 0.0000
3.0617 4.0865 2.2506
3.6476 0.3236 4.2106
1.3468 5.6895 -3.6098
1.9197 2.0094 -1.6928
-0.3109 6.8565 -0.9767
0.2749 3.0936 0.9833
```

=====

Entry 23:
Material: Nd2ScIn3
Method: DFT, PBE-GGA
State: relaxed

Summary:
calculated formation energy = -0.223 eV per atom
ΔE to the lowest computed polymorph = 246 meV/atom
size of the total moment = 0.00 μB per formula unit
DFT total energy = -4.237 eV/atom

The structure in POSCAR format:
```
Nd2ScIn3
1.0
-5.4681 1.7381 0.7255
-1.8657 -2.9230 -7.0594
-1.3867 -6.2626 4.5517
Nd Sc In
4 2 6
Cartesian
-6.3605 -5.7305 0.3665
-2.2267 -2.6465 1.0829
-2.3601 -1.7170 -2.1487
-6.4938 -4.8010 -2.8651
-4.2893 -7.8187 -2.0718
-4.4312 0.3712 0.2896
-1.4828 -5.5924 2.2216
-4.2169 -4.7234 2.5844
-3.2920 -5.0022 -1.3029
-5.4285 -2.4453 -0.4793
-4.5037 -2.7242 -4.3666
-1.7696 -3.5932 -4.7293
```